No. 1
BeAlNiMo | PBE-GGA | optimized geometry

abc: 5.8373 5.8373 5.8373
angles: 90.00 90.00 90.00
Space group F-43m (No. 216)
Asymmetric unit:
Be 0.0000 0.0000 0.0000 x4
Al 0.2500 0.2500 0.2500 x4
Ni 0.0000 0.0000 0.5000 x4
Mo 0.2500 0.2500 0.7500 x4

Values from the calculation:
energy above the lowest structure with this stoichiometry = 0.0 meV/atom

No. 2
BeAlNiMo | PBE-GGA | optimized geometry

abc: 5.8140 5.8140 5.8140
angles: 90.00 90.00 90.00
Space group F-43m (No. 216)
Asymmetric unit:
Be 0.0000 0.0000 0.0000 x4
Al 0.0000 0.0000 0.5000 x4
Ni 0.2500 0.2500 0.7500 x4
Mo 0.2500 0.2500 0.2500 x4

Values from the calculation:
energy above the lowest structure with this stoichiometry = 19.6 meV/atom

No. 3
Be2NbAl | PBE-GGA | optimized geometry

abc: 5.9405 5.9405 5.9405
angles: 90.00 90.00 90.00
Space group F-43m (No. 216)
Asymmetric unit:
Be 0.0000 0.0000 0.0000 x4
Be 0.2500 0.2500 0.2500 x4
Nb 0.2500 0.2500 0.7500 x4
Al 0.0000 0.0000 0.5000 x4

Values from the calculation:
E = -80.378 eV for the cell shown

No. 4
BeNb3Al | PBE-GGA | optimized geometry

abc: 4.4168 4.4168 4.4168
angles: 90.00 90.00 90.00
Space group Pm-3m (No. 221)
Asymmetric unit:
Be 0.0000 0.0000 0.0000 x1
Nb 0.0000 0.0000 0.5000 x3
Al 0.5000 0.5000 0.5000 x1

Values from the calculation:
E = -36.095 eV for the cell shown

No. 5
BeNbAlNi | PBE-GGA | optimized geometry

abc: 5.9245 5.9245 5.9245
angles: 90.00 90.00 90.00
Space group F-43m (No. 216)
Asymmetric unit:
Be 0.0000 0.0000 0.0000 x4
Nb 0.2500 0.2500 0.7500 x4
Al 0.2500 0.2500 0.2500 x4
Ni 0.0000 0.0000 0.5000 x4

Values from the calculation:
energy above the lowest structure with this stoichiometry = 0.0 meV/atom

No. 6
BeNbAlNi | PBE-GGA | optimized geometry

abc: 5.9567 5.9567 5.9567
angles: 90.00 90.00 90.00
Space group F-43m (No. 216)
Asymmetric unit:
Be 0.0000 0.0000 0.0000 x4
Nb 0.2500 0.2500 0.2500 x4
Al 0.0000 0.0000 0.5000 x4
Ni 0.2500 0.2500 0.7500 x4

Values from the calculation:
energy above the lowest structure with this stoichiometry = 169.1 meV/atom

No. 7
BeAlNi | PBE-GGA | optimized geometry

abc: 5.3522 5.3522 5.3522
angles: 90.00 90.00 90.00
Space group F-43m (No. 216)
Asymmetric unit:
Be 0.0000 0.0000 0.0000 x4
Al 0.0000 0.0000 0.5000 x4
Ni 0.2500 0.2500 0.7500 x4

Values from the calculation:
energy above the lowest structure with this stoichiometry = 0.0 meV/atom

No. 8
BeAlNi2 | PBE-GGA | optimized geometry

abc: 5.5634 5.5634 5.5634
angles: 90.00 90.00 90.00
Space group F-43m (No. 216)
Asymmetric unit:
Be 0.0000 0.0000 0.0000 x4
Al 0.2500 0.2500 0.7500 x4
Ni 0.0000 0.0000 0.5000 x4
Ni 0.2500 0.2500 0.2500 x4

Values from the calculation:
E = -79.692 eV for the cell shown

No. 9
Be2AlNi | PBE-GGA | optimized geometry

abc: 5.4835 5.4835 5.4835
angles: 90.00 90.00 90.00
Space group F-43m (No. 216)
Asymmetric unit:
Be 0.0000 0.0000 0.0000 x4
Be 0.2500 0.2500 0.2500 x4
Al 0.2500 0.2500 0.7500 x4
Ni 0.0000 0.0000 0.5000 x4

Values from the calculation:
E = -70.740 eV for the cell shown

No. 10
BeAlNiOs | PBE-GGA | optimized geometry

abc: 5.7470 5.7470 5.7470
angles: 90.00 90.00 90.00
Space group F-43m (No. 216)
Asymmetric unit:
Be 0.0000 0.0000 0.0000 x4
Al 0.2500 0.2500 0.2500 x4
Ni 0.0000 0.0000 0.5000 x4
Os 0.2500 0.2500 0.7500 x4

Values from the calculation:
E = -98.832 eV for the cell shown

No. 11
BeAlNiPd | PBE-GGA | optimized geometry

abc: 5.7887 5.7887 5.7887
angles: 90.00 90.00 90.00
Space group F-43m (No. 216)
Asymmetric unit:
Be 0.0000 0.0000 0.0000 x4
Al 0.2500 0.2500 0.2500 x4
Ni 0.0000 0.0000 0.5000 x4
Pd 0.2500 0.2500 0.7500 x4

Values from the calculation:
energy above the lowest structure with this stoichiometry = 215.5 meV/atom

No. 12
BeAlNiPd | PBE-GGA | optimized geometry

abc: 5.7463 5.7463 5.7463
angles: 90.00 90.00 90.00
Space group F-43m (No. 216)
Asymmetric unit:
Be 0.0000 0.0000 0.0000 x4
Al 0.0000 0.0000 0.5000 x4
Ni 0.2500 0.2500 0.7500 x4
Pd 0.2500 0.2500 0.2500 x4

Values from the calculation:
energy above the lowest structure with this stoichiometry = 0.0 meV/atom

No. 13
BeAlZnNi | PBE-GGA | optimized geometry

abc: 5.7276 5.7276 5.7276
angles: 90.00 90.00 90.00
Space group F-43m (No. 216)
Asymmetric unit:
Be 0.0000 0.0000 0.0000 x4
Al 0.2500 0.2500 0.7500 x4
Zn 0.2500 0.2500 0.2500 x4
Ni 0.0000 0.0000 0.5000 x4

Values from the calculation:
energy above the lowest structure with this stoichiometry = 0.0 meV/atom

No. 14
ZrBeAlNi | PBE-GGA | optimized geometry

abc: 6.0742 6.0742 6.0742
angles: 90.00 90.00 90.00
Space group F-43m (No. 216)
Asymmetric unit:
Zr 0.0000 0.0000 0.0000 x4
Be 0.2500 0.2500 0.2500 x4
Al 0.0000 0.0000 0.5000 x4
Ni 0.2500 0.2500 0.7500 x4

Values from the calculation:
E = -93.045 eV for the cell shown

No. 15
NpBeAl | PBE-GGA | optimized geometry

abc: 6.1292 6.1292 6.1292
angles: 90.00 90.00 90.00
Space group F-43m (No. 216)
Asymmetric unit:
Np 0.0000 0.0000 0.0000 x4
Be 0.2500 0.2500 0.7500 x4
Al 0.0000 0.0000 0.5000 x4

Values from the calculation:
energy above the lowest structure with this stoichiometry = 0.0 meV/atom

No. 16
NpBeAl | PBE-GGA | optimized geometry

abc: 6.3091 6.3091 6.3091
angles: 90.00 90.00 90.00
Space group F-43m (No. 216)
Asymmetric unit:
Np 0.0000 0.0000 0.0000 x4
Be 0.0000 0.0000 0.5000 x4
Al 0.2500 0.2500 0.7500 x4

Values from the calculation:
energy above the lowest structure with this stoichiometry = 406.9 meV/atom

No. 17
BeAlOs | PBE-GGA | optimized geometry

abc: 5.6448 5.6448 5.6448
angles: 90.00 90.00 90.00
Space group F-43m (No. 216)
Asymmetric unit:
Be 0.0000 0.0000 0.0000 x4
Al 0.0000 0.0000 0.5000 x4
Os 0.2500 0.2500 0.7500 x4

Values from the calculation:
energy above the lowest structure with this stoichiometry = 0.0 meV/atom

No. 18
Be2AlOs | PBE-GGA | optimized geometry

abc: 5.7110 5.7110 5.7110
angles: 90.00 90.00 90.00
Space group F-43m (No. 216)
Asymmetric unit:
Be 0.0000 0.0000 0.0000 x4
Be 0.2500 0.2500 0.2500 x4
Al 0.0000 0.0000 0.5000 x4
Os 0.2500 0.2500 0.7500 x4

Values from the calculation:
E = -90.384 eV for the cell shown

No. 19
BeAlOs | PBE-GGA | optimized geometry

abc: 5.5999 5.5999 5.5999
angles: 90.00 90.00 90.00
Space group F-43m (No. 216)
Asymmetric unit:
Be 0.0000 0.0000 0.0000 x4
Al 0.2500 0.2500 0.2500 x4
Os 0.0000 0.0000 0.5000 x4

Values from the calculation:
energy above the lowest structure with this stoichiometry = 158.8 meV/atom

No. 20
BeAlSbOs | PBE-GGA | optimized geometry

abc: 6.2726 6.2726 6.2726
angles: 90.00 90.00 90.00
Space group F-43m (No. 216)
Asymmetric unit:
Be 0.0000 0.0000 0.0000 x4
Al 0.2500 0.2500 0.7500 x4
Sb 0.2500 0.2500 0.2500 x4
Os 0.0000 0.0000 0.5000 x4

Values from the calculation:
energy above the lowest structure with this stoichiometry = 0.0 meV/atom